[1]
VASP calculation (PBE) on Sr2LiZn after structural relaxation.

```
data_Sr2LiZn
_chemical_formula_sum 'Sr4 Li2 Zn2'
_space_group_name_H-M_alt 'I -4 m 2'
_space_group_IT_number 119
_space_group_name_Hall 'I -4 -2'
_cell_length_a 4.837
_cell_length_b 4.837
_cell_length_c 11.705
_cell_angle_alpha 90.00
_cell_angle_beta 90.00
_cell_angle_gamma 90.00
loop_
_atom_site_label
_atom_site_type_symbol
_atom_site_fract_x
_atom_site_fract_y
_atom_site_fract_z
Sr1 Sr 0.000 0.000 0.000
Sr2 Sr 0.000 0.500 0.250
Li1 Li 0.000 0.000 0.500
Zn1 Zn 0.000 0.500 0.750
```

Output
Magnetization: 0.00 μB/cell
Energy of formation: 0.06 eV per atom
Calculated volume: 34.24 Å³/atom
VASP energy: -12.625 eV for the cell shown
Mass density: 3.002 g/cm³

***

[2]
VASP calculation (PBE) on La7Cd3Ag2 after structural relaxation.

```
data_La7Cd3Ag2
_chemical_formula_sum 'La14 Cd6 Ag4'
_space_group_name_H-M_alt 'C m m m'
_space_group_IT_number 65
_space_group_name_Hall '-C 2 2'
_cell_length_a 5.617
_cell_length_b 24.901
_cell_length_c 5.623
_cell_angle_alpha 90.00
_cell_angle_beta 90.00
_cell_angle_gamma 90.00
loop_
_atom_site_label
_atom_site_type_symbol
_atom_site_fract_x
_atom_site_fract_y
_atom_site_fract_z
La1 La 0.000 0.000 0.000
La2 La 0.000 0.099 0.500
La3 La 0.000 0.276 0.000
La4 La 0.000 0.416 0.000
Cd1 Cd 0.000 0.336 0.500
Cd2 Cd 0.000 0.500 0.500
Ag1 Ag 0.000 0.150 0.000
```

Output
Magnetization: 0.02 μB/cell
Energy of formation: 0.00 eV per atom
Calculated volume: 32.77 Å³/atom
VASP energy: -85.890 eV for the cell shown
Mass density: 6.441 g/cm³

***

[3]
VASP calculation (PBE) on NaTe2S6 after structural relaxation.

```
data_NaTe2S6
_chemical_formula_sum 'Na1 Te2 S6'
_space_group_name_H-M_alt 'P 1'
_space_group_IT_number 1
_cell_length_a 5.054
_cell_length_b 6.825
_cell_length_c 8.310
_cell_angle_alpha 76.64
_cell_angle_beta 89.46
_cell_angle_gamma 79.20
loop_
_space_group_symop_operation_xyz
'x,y,z'
loop_
_atom_site_label
_atom_site_type_symbol
_atom_site_fract_x
_atom_site_fract_y
_atom_site_fract_z
Na1 Na 0.000 0.000 0.000
Te1 Te 0.445 0.036 0.563
Te2 Te 0.641 0.622 0.144
S1 S 0.036 0.317 0.546
S2 S 0.062 0.396 0.075
S3 S 0.259 0.802 0.374
S4 S 0.296 0.594 0.944
S5 S 0.736 0.237 0.696
S6 S 0.859 0.922 0.341
```

Output
Magnetization: 0.00 μB/cell
Calculated volume: 30.42 Å³/atom
Energy relative to the elements, uncorrected: -4.4 kJ per mole of atoms
VASP energy: -32.775 eV for the cell shown
Mass density: 2.854 g/cm³

***

[4]
VASP calculation (PBE) on Mg2CuPd5 after structural relaxation.

```
data_Mg2CuPd5
_chemical_formula_sum 'Mg4 Cu2 Pd10'
_space_group_name_H-M_alt 'P b a m'
_space_group_IT_number 55
_cell_length_a 5.462
_cell_length_b 10.701
_cell_length_c 4.188
_cell_angle_alpha 90.00
_cell_angle_beta 90.00
_cell_angle_gamma 90.00
loop_
_space_group_symop_operation_xyz
'x,y,z'
'-x,-y,-z'
'-x,-y,z'
'x,y,-z'
'x+1/2,-y+1/2,-z'
'-x+1/2,y+1/2,z'
'-x+1/2,y+1/2,-z'
'x+1/2,-y+1/2,z'
loop_
_atom_site_label
_atom_site_type_symbol
_atom_site_fract_x
_atom_site_fract_y
_atom_site_fract_z
Mg1 Mg 0.179 0.135 0.000
Cu1 Cu 0.000 0.500 0.500
Pd1 Pd 0.000 0.000 0.500
Pd2 Pd 0.088 0.743 0.500
Pd3 Pd 0.183 0.389 0.000
```

Output
Magnetization: 0.00 μB/cell
Energy of formation: -0.48 eV per atom
E above lowest polymorph: 0.0 meV/atom
Calculated volume: 15.30 Å³/atom
VASP energy: -74.105 eV for the cell shown
Mass density: 8.743 g/cm³

***

[5]
VASP calculation (PBE) on K2AcSmO4 after structural relaxation.

```
data_K2AcSmO4
_chemical_formula_sum 'K2 Ac1 Sm1 O4'
_space_group_name_H-M_alt 'P 1 2/m 1'
_space_group_IT_number 10
_cell_length_a 6.469
_cell_length_b 3.723
_cell_length_c 6.683
_cell_angle_alpha 90.00
_cell_angle_beta 108.83
_cell_angle_gamma 90.00
loop_
_space_group_symop_operation_xyz
'x,y,z'
'-x,-y,-z'
'-x,y,-z'
'x,-y,z'
loop_
_atom_site_label
_atom_site_type_symbol
_atom_site_fract_x
_atom_site_fract_y
_atom_site_fract_z
K1 K 0.000 0.000 0.000
K2 K 0.500 0.500 0.000
Ac1 Ac 0.000 0.500 0.500
Sm1 Sm 0.500 0.000 0.500
O1 O 0.246 0.000 0.693
O2 O 0.281 0.500 0.310
```

Output
Magnetization: 0.00 μB/cell
Calculated volume: 19.04 Å³/atom
Energy relative to the elements, uncorrected: -250.6 kJ per mole of atoms
VASP energy: -51.632 eV for the cell shown
Mass density: 5.664 g/cm³

***

[6]
VASP calculation (PBE) on ReRh2W after structural relaxation.

```
data_ReRh2W
_chemical_formula_sum 'Re1 Rh2 W1'
_space_group_name_H-M_alt 'P 4/m m m'
_space_group_IT_number 123
_space_group_name_Hall '-P 4 2'
_cell_length_a 3.332
_cell_length_b 3.332
_cell_length_c 5.447
_cell_angle_alpha 90.00
_cell_angle_beta 90.00
_cell_angle_gamma 90.00
loop_
_atom_site_label
_atom_site_type_symbol
_atom_site_fract_x
_atom_site_fract_y
_atom_site_fract_z
Re1 Re 0.000 0.000 0.000
Rh1 Rh 0.500 0.500 0.250
W1 W 0.000 0.000 0.500
```

Output
Magnetization: 0.00 μB/cell
Energy of formation: 0.25 eV per atom
E above lowest polymorph: 448.3 meV/atom
Calculated volume: 15.12 Å³/atom
VASP energy: -39.109 eV for the cell shown
Mass density: 15.811 g/cm³

***

[7]
VASP calculation (PBE) on Ca2Tl2Cd after structural relaxation.

```
data_Ca2Tl2Cd
_chemical_formula_sum 'Ca4 Tl4 Cd2'
_space_group_name_H-M_alt 'P 4/m b m'
_space_group_IT_number 127
_space_group_name_Hall '-P 4 2ab'
_cell_length_a 8.794
_cell_length_b 8.794
_cell_length_c 4.042
_cell_angle_alpha 90.00
_cell_angle_beta 90.00
_cell_angle_gamma 90.00
loop_
_atom_site_label
_atom_site_type_symbol
_atom_site_fract_x
_atom_site_fract_y
_atom_site_fract_z
Ca1 Ca 0.157 0.343 0.000
Tl1 Tl 0.143 0.643 0.500
Cd1 Cd 0.000 0.000 0.000
```

Output
Magnetization: 0.00 μB/cell
Energy of formation: -0.19 eV per atom
E above lowest polymorph: 131.7 meV/atom
Calculated volume: 31.26 Å³/atom
VASP energy: -21.243 eV for the cell shown
Mass density: 6.388 g/cm³

***

[8]
VASP calculation (PBE) on SmErTh2S4 after structural relaxation.

```
data_SmErTh2S4
_chemical_formula_sum 'Sm1 Er1 Th2 S4'
_space_group_name_H-M_alt 'P 1 2/m 1'
_space_group_IT_number 10
_cell_length_a 6.809
_cell_length_b 3.968
_cell_length_c 7.038
_cell_angle_alpha 90.00
_cell_angle_beta 109.06
_cell_angle_gamma 90.00
loop_
_space_group_symop_operation_xyz
'x,y,z'
'-x,-y,-z'
'-x,y,-z'
'x,-y,z'
loop_
_atom_site_label
_atom_site_type_symbol
_atom_site_fract_x
_atom_site_fract_y
_atom_site_fract_z
Sm1 Sm 0.000 0.000 0.000
Er1 Er 0.500 0.500 0.000
Th1 Th 0.000 0.500 0.500
Th2 Th 0.500 0.000 0.500
S1 S 0.253 0.500 0.239
S2 S 0.261 0.000 0.765
```

Output
Magnetization: 0.00 μB/cell
Calculated volume: 22.47 Å³/atom
Energy relative to the elements, uncorrected: -183.2 kJ per mole of atoms
VASP energy: -55.825 eV for the cell shown
Mass density: 8.407 g/cm³

***

[9]
VASP calculation (PBE) on MgTl2GaBi2 after structural relaxation.

```
data_MgTl2GaBi2
_chemical_formula_sum 'Mg2 Tl4 Ga2 Bi4'
_space_group_name_H-M_alt 'P m c 21'
_space_group_IT_number 26
_cell_length_a 5.422
_cell_length_b 9.333
_cell_length_c 7.057
_cell_angle_alpha 90.00
_cell_angle_beta 90.00
_cell_angle_gamma 90.00
loop_
_space_group_symop_operation_xyz
'x,y,z'
'-x,-y,z+1/2'
'-x,y,z'
'x,-y,z+1/2'
loop_
_atom_site_label
_atom_site_type_symbol
_atom_site_fract_x
_atom_site_fract_y
_atom_site_fract_z
Mg1 Mg 0.000 0.000 0.000
Tl1 Tl 0.000 0.346 0.286
Tl2 Tl 0.500 0.433 0.961
Ga1 Ga 0.500 0.175 0.635
Bi1 Bi 0.000 0.268 0.758
Bi2 Bi 0.500 0.130 0.230
```

Output
Magnetization: 0.00 μB/cell
Energy of formation: -0.03 eV per atom
Calculated volume: 29.76 Å³/atom
VASP energy: -34.628 eV for the cell shown
Mass density: 8.562 g/cm³

***

[10]
VASP calculation (PBE) on NaSnB after structural relaxation.

```
data_NaSnB
_chemical_formula_sum 'Na2 Sn2 B2'
_space_group_name_H-M_alt 'P 1'
_space_group_IT_number 1
_cell_length_a 3.168
_cell_length_b 5.838
_cell_length_c 7.182
_cell_angle_alpha 86.82
_cell_angle_beta 88.91
_cell_angle_gamma 88.01
loop_
_space_group_symop_operation_xyz
'x,y,z'
loop_
_atom_site_label
_atom_site_type_symbol
_atom_site_fract_x
_atom_site_fract_y
_atom_site_fract_z
Na1 Na 0.000 0.000 0.000
Na2 Na 0.036 0.214 0.525
Sn1 Sn 0.530 0.543 0.197
Sn2 Sn 0.545 0.725 0.613
B1 B 0.377 0.417 0.856
B2 B 0.868 0.430 0.855
```

Output
Magnetization: 0.00 μB/cell
Energy of formation: 0.14 eV per atom
Calculated volume: 22.09 Å³/atom
VASP energy: -23.138 eV for the cell shown
Mass density: 3.822 g/cm³